## Ca3ReI (PBE)

Data for Ca3ReI after structural relaxation.

Properties
- spin magnetization (μB per atom) = 0.05
- space group = Pm-3m, No. 221
- crystal system = cubic

a b c (Å): 5.5485 5.5485 5.5485
angles (deg): 90.00 90.00 90.00
Sites, in units of the cell vectors:
Ca: 0.0000 0.0000 0.5000
Ca: 0.0000 0.5000 0.0000
Ca: 0.5000 0.0000 0.0000
Re: 0.0000 0.0000 0.0000
I: 0.5000 0.5000 0.5000

=====

## Ca2ReI (PBE)

Data for Ca2ReI after structural relaxation.

Properties
- spin magnetization (μB per atom) = 0.50
- space group = Fm-3m, No. 225
- crystal system = cubic

a b c (Å): 5.3088 5.3088 5.3088
angles (deg): 60.00 60.00 60.00
Sites, in units of the cell vectors:
Ca: 0.2500 0.2500 0.2500
Ca: 0.7500 0.7500 0.7500
Re: 0.0000 0.0000 0.0000
I: 0.5000 0.5000 0.5000

=====

## CaRe3I (PBE)

Data for CaRe3I after structural relaxation.

Properties
- spin magnetization (μB per atom) = 0.41
- space group = Pm-3m, No. 221
- crystal system = cubic

a b c (Å): 4.8905 4.8905 4.8905
angles (deg): 90.00 90.00 90.00
Sites, in units of the cell vectors:
Ca: 0.0000 0.0000 0.0000
Re: 0.0000 0.5000 0.5000
Re: 0.5000 0.0000 0.5000
Re: 0.5000 0.5000 0.0000
I: 0.5000 0.5000 0.5000

=====

## CaReSb2I (PBE)

Data for CaReSb2I after structural relaxation.

Properties
- spin magnetization (μB per atom) = 0.76
- space group = P4/mmm, No. 123
- crystal system = tetragonal

a b c (Å): 5.8593 5.8593 5.7317
angles (deg): 90.00 90.00 90.00
Sites, in units of the cell vectors:
Ca: 0.0000 0.0000 0.0000
Re: 0.5000 0.5000 0.5000
Sb: 0.0000 0.5000 0.0000
Sb: 0.5000 0.0000 0.0000
I: 0.0000 0.0000 0.5000

=====

## CaReSbI2 (PBE)

Data for CaReSbI2 after structural relaxation.

Properties
- spin magnetization (μB per atom) = 0.80
- space group = P4/mmm, No. 123
- crystal system = tetragonal

a b c (Å): 5.8525 5.8525 6.3529
angles (deg): 90.00 90.00 90.00
Sites, in units of the cell vectors:
Ca: 0.0000 0.0000 0.0000
Re: 0.5000 0.5000 0.5000
Sb: 0.0000 0.0000 0.5000
I: 0.0000 0.5000 0.0000
I: 0.5000 0.0000 0.0000

=====

## CaReSbI2 (PBE)

Data for CaReSbI2 after structural relaxation.

Properties
- spin magnetization (μB per atom) = 0.10
- space group = P4/mmm, No. 123
- crystal system = tetragonal

a b c (Å): 5.6448 5.6448 5.1142
angles (deg): 90.00 90.00 90.00
Sites, in units of the cell vectors:
Ca: 0.0000 0.0000 0.0000
Re: 0.5000 0.5000 0.5000
Sb: 0.5000 0.5000 0.0000
I: 0.0000 0.5000 0.5000
I: 0.5000 0.0000 0.5000

=====

## CaReSb2I (PBE)

Data for CaReSb2I after structural relaxation.

Properties
- spin magnetization (μB per atom) = 0.00
- space group = P4/mmm, No. 123
- crystal system = tetragonal

a b c (Å): 5.1302 5.1302 5.9801
angles (deg): 90.00 90.00 90.00
Sites, in units of the cell vectors:
Ca: 0.0000 0.0000 0.0000
Re: 0.5000 0.5000 0.5000
Sb: 0.0000 0.5000 0.5000
Sb: 0.5000 0.0000 0.5000
I: 0.5000 0.5000 0.0000

=====

## CaReTe2I (PBE)

Data for CaReTe2I after structural relaxation.

Properties
- spin magnetization (μB per atom) = 0.00
- space group = P4/mmm, No. 123
- crystal system = tetragonal

a b c (Å): 5.2484 5.2484 5.7351
angles (deg): 90.00 90.00 90.00
Sites, in units of the cell vectors:
Ca: 0.0000 0.0000 0.0000
Re: 0.5000 0.5000 0.5000
Te: 0.0000 0.5000 0.5000
Te: 0.5000 0.0000 0.5000
I: 0.5000 0.5000 0.0000

=====

Number 1: ΔE_f (raw) 0.35 eV per atom, energy above the most stable polymorph in this dataset 0.000 eV/atom, final energy -18.267 eV/cell. Number 2: ΔE_f (raw) 0.56 eV per atom, energy above the most stable polymorph in this dataset 0.000 eV/atom, final energy -15.763 eV/cell. Number 3: ΔE_f (raw) 2.26 eV per atom, energy above the most stable polymorph in this dataset 0.000 eV/atom, final energy -29.585 eV/cell. Number 4: ΔE_f (raw) 1.43 eV per atom, energy above the most stable polymorph in this dataset 1.198 eV/atom, final energy -17.097 eV/cell. Number 5: ΔE_f (raw) 0.97 eV per atom, energy above the most stable polymorph in this dataset 0.665 eV/atom, final energy -16.836 eV/cell. Number 6: ΔE_f (raw) 0.30 eV per atom, energy above the most stable polymorph in this dataset 0.000 eV/atom, final energy -20.158 eV/cell. Number 7: ΔE_f (raw) 0.23 eV per atom, energy above the most stable polymorph in this dataset 0.000 eV/atom, final energy -23.087 eV/cell. Number 8: ΔE_f (raw) 0.14 eV per atom, energy above the most stable polymorph in this dataset 0.000 eV/atom, final energy -21.559 eV/cell.